[1]
Below is a relaxed structure of YIn, with properties calculated at the PBE level.

As for the total energy: -4.84 eV/atom. For the formation energy, the calculation gives -0.49 eV/f.u. The mass density is 6.02 Mg/m³. For the density of states at the Fermi level, the calculation gives 1.54 states/eV/f.u.

Cell lengths 3.5904, 3.5904, 8.7129 Å; angles 90.00, 90.00, 90.00 degrees
Last column: nearest neighbours and their distance in Å.
Space group P4/nmm (No. 129, origin choice 2)
Symmetry-distinct sites (fractional):
Y 0.2500 0.2500 0.1458  4 In 3.33, 8 Y 3.59
In 0.2500 0.2500 0.6073  4 In 3.15, 4 Y 3.33

=====

[2]
Below is a relaxed structure of YTa2Os, with properties calculated at the PBE level.

As for the total energy: -10.08 eV/atom. For the formation energy, the calculation gives 1.06 eV/f.u. The mass density is 14.28 Mg/m³. For the density of states at the Fermi level, the calculation gives 4.64 states/eV/f.u. The energy above the lowest structure with this stoichiometry is 264 meV per atom.

Cell lengths 5.6214, 9.5257, 2.9452 Å; angles 90.00, 108.98, 90.00 degrees
Last column: nearest neighbours and their distance in Å.
Space group C2/m (No. 12)
Symmetry-distinct sites (fractional):
Y 0.0000 0.0000 0.0000  2 Os 2.81, 4 Ta 2.91, 2 Y 2.95
Ta 0.2500 0.2500 0.5000  4 Ta 2.81-2.95, 2 Os 2.91, 2 Y 2.91
Os 0.0000 0.5000 0.0000  2 Y 2.81, 4 Ta 2.91, 2 Os 2.95

=====

[3]
Below is a relaxed structure of K2BaRePt, with properties calculated at the PBE level.

As for the total energy: -2.62 eV/atom. For the formation energy, the calculation gives 9.49 eV/f.u. The mass density is 4.66 Mg/m³. For the density of states at the Fermi level, the calculation gives 2.98 states/eV/f.u.

Cell lengths 6.4525, 6.4525, 5.1119 Å; angles 90.00, 90.00, 90.00 degrees
Last column: nearest neighbours and their distance in Å.
Space group P4/mmm (No. 123)
Symmetry-distinct sites (fractional):
K 0.0000 0.5000 0.0000  2 Ba 3.23
Ba 0.0000 0.0000 0.0000  2 Re 2.56
Re 0.0000 0.0000 0.5000  2 Ba 2.56
Pt 0.5000 0.5000 0.5000  8 K 4.12, 4 Re 4.56